(1)
Compound: Ca2ZrTc
Source: Alexandria
Functional: GGA-PBE
Structure: optimized geometry

a = 3.328 Å, b = 4.188 Å, c = 17.234 Å
α = 90.00°, β = 90.00°, γ = 90.00°
Space group Immm (No. 71)
One atom of each set of equivalent atoms:
Ca (0.000, 0.000, 0.158) [4 per cell]
Zr (0.000, 0.500, 0.000) [2 per cell]
Tc (0.000, 0.500, 0.500) [2 per cell]

For the formation enthalpy at 0 K, the calculation gives 0.26 eV per atom. For the theoretical density, the calculation gives 3.725 g/cm3. The value obtained for the total energy is -0.4023 Ry/atom. Its size of the total moment is 0.00 μB per cell.


(2)
Compound: Pm3Cd2Au7
Source: Alexandria
Functional: GGA-PBE
Structure: optimized geometry

a = 4.708 Å, b = 29.940 Å, c = 3.937 Å
α = 90.00°, β = 90.00°, γ = 90.00°
Space group Cmmm (No. 65)
One atom of each set of equivalent atoms:
Pm (0.000, 0.000, 0.000) [2 per cell]
Pm (0.000, 0.190, 0.000) [4 per cell]
Cd (0.000, 0.365, 0.500) [4 per cell]
Au (0.000, 0.084, 0.500) [4 per cell]
Au (0.000, 0.274, 0.500) [4 per cell]
Au (0.000, 0.431, 0.000) [4 per cell]
Au (0.000, 0.500, 0.500) [2 per cell]

For the formation enthalpy at 0 K, the calculation gives -0.51 eV per atom. For the theoretical density, the calculation gives 12.202 g/cm3. The value obtained for the total energy is -0.2765 Ry/atom. Its size of the total moment is 0.00 μB per cell.